The following is a DFT calculation (PBE) of a relaxed structure of PmMg2SiPt2.

Unit cell a=5.1026 b=5.1026 c=6.3933 alpha=113.52 beta=113.52 gamma=90.00
Atoms (fractional coordinates):
Mg1 0.2500 0.7500 0.5000
Mg2 0.7500 0.2500 0.5000
Pm1 0.5000 0.5000 0.0000
Pt1 0.2142 0.2142 0.4284
Pt2 0.7858 0.7858 0.5716
Si1 0.0000 0.0000 0.0000

## Properties
* total DFT energy (no corrections): -4.75 eV/atom
* space group: I4/mmm, No. 139
* D(E_F): 3.9 states/eV/f.u.
* magnetization: 0.00 μB per cell
* volume: 137.4 Å³/cell

The following is a DFT calculation (PBE) of a relaxed structure of Pm2Mg2Si4Pt.

Unit cell a=6.2781 b=6.2781 c=6.2781 alpha=90.79 beta=119.55 gamma=119.55
Atoms (fractional coordinates):
Mg1 0.0000 0.2912 0.2912
Mg2 0.0000 0.7088 0.7088
Si1 0.0000 0.7221 0.2779
Si2 0.4442 0.7221 0.7221
Si3 0.5558 0.2779 0.2779
Si4 0.0000 0.2779 0.7221
Pt1 0.0000 0.0000 0.0000
Pm1 0.5000 0.7500 0.2500
Pm2 0.5000 0.2500 0.7500

## Properties
* total DFT energy (no corrections): -4.97 eV/atom
* space group: I4/mmm, No. 139
* D(E_F): 3.2 states/eV/f.u.
* magnetization: 0.00 μB per cell
* volume: 176.1 Å³/cell

The following is a DFT calculation (PBE) of a relaxed structure of PmMgSi2Pt5.

Unit cell a=4.0774 b=4.0774 c=10.6709 alpha=90.00 beta=90.00 gamma=90.00
Atoms (fractional coordinates):
Pt1 0.5000 0.0000 0.8306
Pt2 0.0000 0.5000 0.1694
Pt3 0.5000 0.0000 0.1694
Pt4 0.0000 0.5000 0.8306
Pt5 0.5000 0.5000 0.5000
Si1 0.5000 0.5000 0.2798
Si2 0.5000 0.5000 0.7202
Mg1 0.0000 0.0000 0.0000
Pm1 0.0000 0.0000 0.5000

## Properties
* total DFT energy (no corrections): -6.04 eV/atom
* space group: P4/mmm, No. 123
* D(E_F): 2.4 states/eV/f.u.
* magnetization: 0.00 μB per cell
* volume: 177.4 Å³/cell

The following is a DFT calculation (PBE) of a relaxed structure of PmSmMgPt.

Unit cell a=5.2067 b=5.2067 c=5.2067 alpha=60.00 beta=60.00 gamma=60.00
Atoms (fractional coordinates):
Sm1 0.5000 0.5000 0.5000
Pm1 0.0000 0.0000 0.0000
Pt1 0.2500 0.2500 0.2500
Mg1 0.7500 0.7500 0.7500

## Properties
* space group: F-43m, No. 216
* D(E_F): 3.5 states/eV/f.u.
* energy of formation from the pure elements: -517 meV/atom
* magnetization: 0.00 μB per cell
* volume: 99.8 Å³/cell